Density functional theory data (meta-GGA SCAN) for GeHCS2 at its PBEsol-relaxed geometry.

POSCAR file:
```
GeHCS2
1.0
-2.548 1.822 2.314
0.940 -2.397 2.922
3.353 2.968 1.356
C H Ge S
1 1 1 2
Direct
0.000 0.000 0.000
0.500 0.500 0.500
0.000 0.000 0.500
0.000 0.500 0.000
0.500 0.000 0.000
```

## Properties
Volume, Å³/atom: 14.19
Symmetry: P4/mmm (123)
E, eV per atom: -8.816
DOS at the Fermi energy, states/eV per cell: 2.5